# 1
An optimized crystal structure of Nd3Ge3Au, computed with PBE.

As for the size of the total moment: 0.00 μB/f.u. For the total energy, the calculation gives -5.282 eV per atom. The value obtained for the formation energy is -18.24 kcal/mol of atoms. The density is 8.09 g/cm3.

It has space group Imm2 (No. 44), with a = 4.177 Å, b = 4.404 Å, c = 18.920 Å, α = 90.00°, β = 90.00° and γ = 90.00°. The distinct sites, in fractional coordinates, are Nd at (0.000, 0.000, 0.000), Nd at (0.000, 0.000, 0.366), Nd at (0.000, 0.500, 0.689), Ge at (0.000, 0.000, 0.532), Ge at (0.000, 0.000, 0.835), Ge at (0.000, 0.500, 0.250) and Au at (0.000, 0.500, 0.117).

# 2
An optimized crystal structure of Nd2GeAu, computed with PBE.

As for the size of the total moment: 0.00 μB/f.u. For the total energy, the calculation gives -5.041 eV per atom. The value obtained for the formation energy is -15.76 kcal/mol of atoms. The density is 7.99 g/cm3.

It has space group R-3m (No. 166, hexagonal axes), with a = 4.3987 Å, b = 4.3987 Å, c = 20.7665 Å, α = 90.00°, β = 90.00° and γ = 120.00°. The distinct sites, in fractional coordinates, are Nd at (0.0000, 0.0000, 0.2444), Ge at (0.0000, 0.0000, 0.5000) and Au at (0.0000, 0.0000, 0.0000).

# 3
An optimized crystal structure of Nd2GeAu, computed with PBE.

As for the size of the total moment: 0.00 μB/f.u. For the total energy, the calculation gives -5.153 eV per atom. The value obtained for the formation energy is -18.34 kcal/mol of atoms. The density is 8.79 g/cm3.

It has space group Amm2 (No. 38), with a = 4.450 Å, b = 4.204 Å, c = 11.269 Å, α = 90.00°, β = 90.00° and γ = 90.00°. The distinct sites, in fractional coordinates, are Nd at (0.000, 0.000, 0.000), Nd at (0.500, 0.000, 0.277), Ge at (0.500, 0.000, 0.552) and Au at (0.000, 0.000, 0.718).

# 4
An optimized crystal structure of Nd2GeAu, computed with PBE.

As for the size of the total moment: 0.00 μB/f.u. For the total energy, the calculation gives -5.066 eV per atom. The value obtained for the formation energy is -16.34 kcal/mol of atoms. The density is 9.14 g/cm3.

It has space group P4/mmm (No. 123), with a = 3.664 Å, b = 3.664 Å, c = 7.555 Å, α = 90.00°, β = 90.00° and γ = 90.00°. The distinct sites, in fractional coordinates, are Nd at (0.000, 0.000, 0.247), Ge at (0.500, 0.500, 0.000) and Au at (0.500, 0.500, 0.500).

# 5
An optimized crystal structure of Nd4Ge2Au, computed with PBE.

As for the size of the total moment: 0.00 μB/f.u. For the total energy, the calculation gives -5.048 eV per atom. The value obtained for the formation energy is -12.36 kcal/mol of atoms. The density is 7.55 g/cm3.

It has space group R-3m (No. 166, hexagonal axes), with a = 5.0391 Å, b = 5.0391 Å, c = 27.5786 Å, α = 90.00°, β = 90.00° and γ = 120.00°. The distinct sites, in fractional coordinates, are Nd at (0.0000, 0.0000, 0.1211), Nd at (0.0000, 0.0000, 0.2944), Ge at (0.0000, 0.0000, 0.4059) and Au at (0.0000, 0.0000, 0.5000).

# 6
An optimized crystal structure of NdGe2Au3, computed with PBE.

As for the size of the total moment: 0.00 μB/f.u. For the total energy, the calculation gives -4.425 eV per atom. The value obtained for the formation energy is -10.43 kcal/mol of atoms. The density is 11.77 g/cm3.

It has space group C2/m (No. 12), with a = 16.625 Å, b = 4.512 Å, c = 7.331 Å, α = 90.00°, β = 115.41° and γ = 90.00°. The distinct sites, in fractional coordinates, are Nd at (0.139, 0.000, 0.206), Ge at (0.010, 0.500, 0.835), Ge at (0.208, 0.000, 0.680), Au at (0.055, 0.000, 0.721), Au at (0.131, 0.500, 0.510) and Au at (0.185, 0.500, 0.946).

# 7
An optimized crystal structure of NdGe2Au4, computed with PBE.

As for the size of the total moment: 0.00 μB/f.u. For the total energy, the calculation gives -4.234 eV per atom. The value obtained for the formation energy is -8.33 kcal/mol of atoms. The density is 12.66 g/cm3. The distance to the lowest polymorph of the same formula is 0.231 eV/f.u.

It has space group P4_2/mnm (No. 136), with a = 8.144 Å, b = 8.144 Å, c = 4.263 Å, α = 90.00°, β = 90.00° and γ = 90.00°. The distinct sites, in fractional coordinates, are Nd at (0.000, 0.000, 0.000), Ge at (0.225, 0.225, 0.500) and Au at (0.074, 0.675, 0.500).

# 8
An optimized crystal structure of NdGeAu4, computed with PBE.

As for the size of the total moment: 0.00 μB/f.u. For the total energy, the calculation gives -4.082 eV per atom. The value obtained for the formation energy is -7.68 kcal/mol of atoms. The density is 13.20 g/cm3.

It has space group F-43m (No. 216), with a = 7.966 Å, b = 7.966 Å, c = 7.966 Å, α = 90.00°, β = 90.00° and γ = 90.00°. The distinct sites, in fractional coordinates, are Nd at (0.000, 0.000, 0.000), Ge at (0.250, 0.250, 0.250) and Au at (0.125, 0.125, 0.625).

# 9
An optimized crystal structure of NdGe2Au, computed with PBE.

As for the size of the total moment: 0.00 μB/f.u. For the total energy, the calculation gives -4.822 eV per atom. The value obtained for the formation energy is -11.58 kcal/mol of atoms. The density is 9.34 g/cm3.

It has space group R-3m (No. 166, hexagonal axes), with a = 4.3383 Å, b = 4.3383 Å, c = 15.9132 Å, α = 90.00°, β = 90.00° and γ = 120.00°. The distinct sites, in fractional coordinates, are Nd at (0.0000, 0.0000, 0.0000), Ge at (0.0000, 0.0000, 0.2277) and Au at (0.0000, 0.0000, 0.5000).

# 10
An optimized crystal structure of NdGe4Au12, computed with PBE.

As for the size of the total moment: 0.00 μB/f.u. For the total energy, the calculation gives -3.677 eV per atom. The value obtained for the formation energy is 0.07 kcal/mol of atoms. The density is 12.56 g/cm3.

It has space group Im-3 (No. 204), with a = 9.045 Å, b = 9.045 Å, c = 9.045 Å, α = 90.00°, β = 90.00° and γ = 90.00°. The distinct sites, in fractional coordinates, are Nd at (0.000, 0.000, 0.000), Ge at (0.250, 0.250, 0.250) and Au at (0.000, 0.154, 0.343).

# 11
An optimized crystal structure of Nd2Ge5Au3, computed with PBE.

As for the size of the total moment: 0.00 μB/f.u. For the total energy, the calculation gives -4.689 eV per atom. The value obtained for the formation energy is -10.24 kcal/mol of atoms. The density is 9.66 g/cm3.

It has space group Ibam (No. 72), with a = 10.370 Å, b = 12.740 Å, c = 6.470 Å, α = 90.00°, β = 90.00° and γ = 90.00°. The distinct sites, in fractional coordinates, are Nd at (0.242, 0.119, 0.000), Ge at (0.000, 0.000, 0.250), Ge at (0.000, 0.260, 0.250), Ge at (0.136, 0.380, 0.000), Au at (0.000, 0.500, 0.250) and Au at (0.125, 0.134, 0.500).

# 12
An optimized crystal structure of Nd7Ge2Au2, computed with PBE.

As for the size of the total moment: 0.00 μB/f.u. For the total energy, the calculation gives -4.857 eV per atom. The value obtained for the formation energy is -8.93 kcal/mol of atoms. The density is 7.73 g/cm3.

It has space group Cmmm (No. 65), with a = 8.119 Å, b = 11.025 Å, c = 7.433 Å, α = 90.00°, β = 90.00° and γ = 90.00°. The distinct sites, in fractional coordinates, are Nd at (0.000, 0.000, 0.000), Nd at (0.000, 0.500, 0.262), Nd at (0.250, 0.250, 0.278), Ge at (0.000, 0.289, 0.000) and Au at (0.179, 0.000, 0.500).